(1)
Computed, not measured: an optimized crystal structure of Mg2Tl14Te9 at the PBE level of DFT.

Values from the calculation:
Its symmetry is P-3, No. 147. Its total magnetization is 0.000 μB per atom. As for the raw formation energy: -0.356 eV per atom.

The structure in extended XYZ format:
```
25
Lattice="-9.216 2.747 -0.242 4.289 -3.158 -8.011 -3.513 -11.549 2.672" Properties=species:S:1:pos:R:3 pbc="T T T"
Tl -4.722 -10.557 -0.422
Te -0.378 -1.734 -5.295
Tl -3.456 -0.270 0.081
Tl -0.403 -12.461 -2.974
Tl -8.037 0.502 -2.605
Mg -1.184 -4.384 -4.682
Te -4.501 -7.169 -0.455
Tl -0.962 -3.163 0.732
Tl -4.550 -7.720 -3.893
Te -3.939 -4.790 -5.125
Mg -7.256 -7.576 -0.898
Te 0.000 0.000 0.000
Te -8.613 -5.660 0.663
Tl -7.116 -2.863 0.023
Te -0.696 -5.050 -1.986
Tl -1.324 -9.097 -5.603
Te -8.062 -10.225 -0.285
Tl -7.144 -3.735 -3.781
Tl -1.296 -8.225 -1.799
Te -7.744 -6.909 -3.594
Tl -4.984 -11.690 -5.661
Tl -3.890 -4.240 -1.687
Tl -3.717 -1.403 -5.158
Tl -2.551 -8.385 1.940
Te 0.173 -6.300 -6.243
```

(2)
Computed, not measured: an optimized crystal structure of ScTlCl2 at the PBE level of DFT.

Values from the calculation:
Its symmetry is C2/m, No. 12. Its total magnetization is 0.000 μB per atom. Its density of states at the Fermi level is 1.61 states/eV/cell. The value obtained for the energy above the lowest structure with this stoichiometry is 0.525 eV/atom. As for the raw formation energy: -0.786 eV per atom.

The structure in extended XYZ format:
```
4
Lattice="-4.476 1.525 3.366 -0.878 -1.429 -5.525 -1.228 -3.379 -0.102" Properties=species:S:1:pos:R:3 pbc="T T T"
Sc -1.053 -2.404 -2.813
Tl -2.677 0.048 -1.080
Cl -2.852 -0.927 1.632
Cl 0.000 0.000 0.000
```

(3)
Computed, not measured: an optimized crystal structure of NaAlTe2 at the PBE level of DFT.

Values from the calculation:
Its symmetry is Pna2_1, No. 33. Its total magnetization is 0.000 μB per atom. Its density of states at the Fermi level is 0.00 states/eV/cell. As for the raw formation energy: -0.676 eV per atom.

The structure in extended XYZ format:
```
16
Lattice="-5.678 -2.521 -4.365 4.172 -9.207 -0.112 -3.838 -1.813 6.039" Properties=species:S:1:pos:R:3 pbc="T T T"
Al -6.492 -4.383 3.546
Te -5.045 -3.440 1.538
Te 0.643 -9.110 3.055
Te -1.187 -4.338 -1.186
Al -2.617 -5.407 5.701
Al -4.616 -9.025 -1.165
Te -3.528 -8.242 -3.450
Te 0.544 -9.702 -1.301
Al -0.741 -10.049 0.989
Na 3.175 -8.387 -0.347
Na -6.729 -4.308 -0.906
Te -2.978 -8.645 0.894
Na -0.796 -7.149 -2.499
Te -4.808 -3.873 -3.348
Na -2.758 -5.545 1.247
Te -0.973 -4.900 3.687
```

(4)
Computed, not measured: an optimized crystal structure of Pm2NdGa3Pt4 at the PBE level of DFT.

Values from the calculation:
Its symmetry is P-4m2, No. 115. Its total magnetization is 0.000 μB per atom. Its density of states at the Fermi level is 7.77 states/eV/cell. For the calculated formation energy, the calculation gives -922 meV/atom.

The structure in extended XYZ format:
```
10
Lattice="-1.294 3.206 2.577 -4.096 -1.258 -0.490 1.025 -6.865 9.055" Properties=species:S:1:pos:R:3 pbc="T T T"
Pm -1.250 -5.975 6.807
Nd -2.182 -2.458 5.571
Pt -1.703 -2.937 2.799
Ga 0.256 -4.443 9.264
Pm -0.420 0.085 3.292
Ga 0.512 -3.433 4.528
Ga -1.926 -1.448 0.835
Pt 0.000 0.000 0.000
Pt -2.695 0.974 1.044
Pt 0.033 -2.954 7.300
```

(5)
Computed, not measured: an optimized crystal structure of Pm2Pr5Nd12 at the PBE level of DFT.

Values from the calculation:
Its symmetry is C2/m, No. 12. Its total magnetization is 0.000 μB per atom. Its density of states at the Fermi level is 30.73 states/eV/cell. The value obtained for the energy above the lowest structure with this stoichiometry is 0.033 eV/atom. For the calculated formation energy, the calculation gives 156 meV/atom.

The structure in extended XYZ format:
```
19
Lattice="7.246 0.000 0.000 -3.623 8.737 3.586 0.000 -0.205 10.670" Properties=species:S:1:pos:R:3 pbc="T T T"
Pr 0.000 -0.102 5.335
Nd 5.416 2.818 6.279
Nd -1.833 5.784 11.699
Nd 1.831 2.818 6.279
Pr 3.623 2.891 9.679
Pr 0.000 3.104 10.055
Pm 2.018 0.000 0.000
Nd -1.793 5.715 7.976
Pr 3.623 5.428 4.200
Nd 3.623 8.202 6.005
Nd 0.000 8.595 10.766
Nd 0.000 0.330 8.251
Nd 1.790 2.748 2.557
Pm 5.228 0.000 0.000
Nd 3.623 -0.063 3.489
Nd 1.793 5.715 7.976
Nd 1.833 5.784 11.699
Nd 5.456 2.748 2.557
Pr 0.000 5.641 4.576
```

(6)
Computed, not measured: an optimized crystal structure of BeVOs at the PBE level of DFT.

Values from the calculation:
Its symmetry is Ima2, No. 46. Its total magnetization is 0.000 μB per atom. Its density of states at the Fermi level is 3.87 states/eV/cell. The value obtained for the energy above the lowest structure with this stoichiometry is 0.000 eV/atom. For the calculated formation energy, the calculation gives -362 meV/atom.

The structure in extended XYZ format:
```
6
Lattice="4.008 0.005 2.076 2.149 3.918 0.750 0.203 0.340 4.514" Properties=species:S:1:pos:R:3 pbc="T T T"
V 1.982 0.675 1.374
Os 3.420 1.994 3.502
Be 6.211 4.028 5.472
V 4.797 2.134 5.751
Be 4.206 4.026 4.434
Os 2.086 3.223 1.168
```

(7)
Computed, not measured: an optimized crystal structure of TcNiBr2 at the PBE level of DFT.

Values from the calculation:
Its symmetry is I-4m2, No. 119. Its total magnetization is 1.085 μB per atom. Its density of states at the Fermi level is 3.60 states/eV/cell. The value obtained for the energy above the lowest structure with this stoichiometry is 0.683 eV/atom. As for the raw formation energy: 0.846 eV per atom.

The structure in extended XYZ format:
```
4
Lattice="-3.078 -5.705 0.849 1.850 -6.206 -0.898 1.481 5.856 2.501" Properties=species:S:1:pos:R:3 pbc="T T T"
Ni -0.614 -5.956 -0.024
Tc -1.105 -2.902 1.663
Br 0.000 0.000 0.000
Br 1.359 -3.153 0.789
```

(8)
Computed, not measured: an optimized crystal structure of NaAcHg at the PBE level of DFT.

Values from the calculation:
Its symmetry is P4/nmm, No. 129. Its total magnetization is 0.000 μB per atom. Its density of states at the Fermi level is 5.39 states/eV/cell. The value obtained for the energy above the lowest structure with this stoichiometry is 0.000 eV/atom. For the calculated formation energy, the calculation gives -226 meV/atom.

The structure in extended XYZ format:
```
6
Lattice="-1.709 -3.495 0.962 3.241 -0.998 2.136 -5.053 5.260 10.125" Properties=species:S:1:pos:R:3 pbc="T T T"
Ac -1.276 -2.584 2.918
Hg -3.059 3.098 12.039
Na -1.451 1.431 8.826
Na -4.805 1.093 9.995
Hg -3.204 -0.575 6.785
Ac 0.065 -0.154 5.779
```

(9)
Computed, not measured: an optimized crystal structure of Sr2ZnH6Ir at the PBE level of DFT.

Values from the calculation:
Its symmetry is C2/m, No. 12. Its total magnetization is 0.000 μB per atom. Its electronic total energy is -37.811 eV/cell. Its density of states at the Fermi level is 0.78 states/eV/cell.

The structure in extended XYZ format:
```
10
Lattice="5.502 -0.006 0.005 -0.006 5.502 0.005 2.751 2.752 3.996" Properties=species:S:1:pos:R:3 pbc="T T T"
H 2.747 2.747 1.755
H 6.729 4.270 4.001
Zn 0.000 0.000 0.000
Ir 2.748 2.748 0.005
H 5.501 5.501 2.251
Sr 2.746 5.502 2.003
Sr 5.502 2.746 2.003
H 1.520 1.520 0.008
H 1.518 3.978 0.005
H 6.728 6.728 3.997
```

(10)
Computed, not measured: an optimized crystal structure of MnSi2SN at the PBE level of DFT.

Values from the calculation:
Its symmetry is Pm, No. 6. Its total magnetization is 0.000 μB per atom. Its density of states at the Fermi level is 0.90 states/eV/cell. The value obtained for the energy above the lowest structure with this stoichiometry is 0.131 eV/atom. As for the raw formation energy: -0.327 eV per atom.

The structure in extended XYZ format:
```
5
Lattice="5.173 0.000 -0.406 0.000 2.816 0.000 -0.658 0.000 5.707" Properties=species:S:1:pos:R:3 pbc="T T T"
Si 0.659 0.000 3.349
Si 1.320 1.408 0.433
S 3.307 1.408 1.517
Mn 4.909 0.000 0.994
N 0.882 1.408 4.359
```

(11)
Computed, not measured: an optimized crystal structure of YTc3Ge2 at the PBE level of DFT.

Values from the calculation:
Its symmetry is C2/m, No. 12. Its total magnetization is 0.000 μB per atom. Its density of states at the Fermi level is 6.74 states/eV/cell. For the calculated formation energy, the calculation gives -386 meV/atom.

The structure in extended XYZ format:
```
12
Lattice="-2.095 -2.564 -2.502 7.612 -2.367 -0.505 -4.015 -2.471 5.893" Properties=species:S:1:pos:R:3 pbc="T T T"
Ge -0.294 -3.312 3.640
Tc -2.519 -3.532 2.286
Tc 4.021 -3.870 0.599
Tc -0.302 -3.936 0.844
Tc 2.478 -6.044 0.677
Tc -0.976 -1.358 2.208
Ge 2.992 -5.504 3.135
Ge -1.490 -1.898 -0.249
Tc 1.804 -3.466 2.042
Y 1.581 -1.159 -0.135
Y -0.078 -6.243 3.021
Ge 1.796 -4.090 -0.754
```

Question: What is the formula in the first record?
Answer: Mg2Tl14Te9

Repeat the fifth record exactly.
Computed, not measured: an optimized crystal structure of Pm2Pr5Nd12 at the PBE level of DFT.

Values from the calculation:
Its symmetry is C2/m, No. 12. Its total magnetization is 0.000 μB per atom. Its density of states at the Fermi level is 30.73 states/eV/cell. The value obtained for the energy above the lowest structure with this stoichiometry is 0.033 eV/atom. For the calculated formation energy, the calculation gives 156 meV/atom.

The structure in extended XYZ format:
```
19
Lattice="7.246 0.000 0.000 -3.623 8.737 3.586 0.000 -0.205 10.670" Properties=species:S:1:pos:R:3 pbc="T T T"
Pr 0.000 -0.102 5.335
Nd 5.416 2.818 6.279
Nd -1.833 5.784 11.699
Nd 1.831 2.818 6.279
Pr 3.623 2.891 9.679
Pr 0.000 3.104 10.055
Pm 2.018 0.000 0.000
Nd -1.793 5.715 7.976
Pr 3.623 5.428 4.200
Nd 3.623 8.202 6.005
Nd 0.000 8.595 10.766
Nd 0.000 0.330 8.251
Nd 1.790 2.748 2.557
Pm 5.228 0.000 0.000
Nd 3.623 -0.063 3.489
Nd 1.793 5.715 7.976
Nd 1.833 5.784 11.699
Nd 5.456 2.748 2.557
Pr 0.000 5.641 4.576
```

Question: Which value of total magnetization does entry 9 give?
Answer: 0.000 μB per atom

Question: total magnetization of number 5 (Pm2Pr5Nd12)?
Answer: 0.000 μB per atom